1.
Density functional theory data (PBE-GGA) for a relaxed structure of La5MgCd4.

Cell and atoms, written as POSCAR:
```
La5MgCd4
1.0
-2.091 1.642 -2.925
-3.345 -0.766 1.961
1.227 17.410 8.896
La Mg Cd
5 1 4
Cartesian
-2.595 2.191 0.414
-2.349 5.674 2.194
-2.105 9.143 3.966
-1.860 12.612 5.739
-1.615 16.095 7.518
0.000 0.000 0.000
0.243 3.455 1.765
0.491 6.969 3.561
0.736 10.442 5.335
0.983 13.956 7.131
```

Properties
energy of formation	-0.29	eV/atom
volume	30.608	Å³ per atom
density of states at the Fermi level	13.21	states/eV/cell
M_tot	1.20	Bohr magnetons per cell


2.
Density functional theory data (PBE-GGA) for a relaxed structure of La2Mg3Cd3.

Cell and atoms, written as POSCAR:
```
La2Mg3Cd3
1.0
-1.410 4.741 1.826
-4.001 0.430 3.406
3.692 0.828 8.312
La Mg Cd
2 3 3
Cartesian
3.663 0.833 8.277
-0.832 2.995 6.804
-0.417 1.498 3.401
-1.297 4.500 10.149
-2.914 3.334 4.316
1.619 1.166 5.834
-3.391 4.842 7.646
1.246 2.657 9.288
```

Properties
energy of formation	-0.30	eV/atom
volume	25.907	Å³ per atom
density of states at the Fermi level	2.68	states/eV/cell
M_tot	0.00	Bohr magnetons per cell


3.
Density functional theory data (PBE-GGA) for a relaxed structure of LaMg5Cd2.

Cell and atoms, written as POSCAR:
```
LaMg5Cd2
1.0
3.936 0.000 0.000
1.968 7.247 0.277
1.968 1.604 7.073
La Mg Cd
1 5 2
Cartesian
0.000 0.000 0.000
1.968 4.425 3.675
3.936 4.315 1.274
3.936 4.535 6.076
3.936 6.806 3.342
3.936 2.045 4.008
5.905 6.727 5.586
1.968 2.123 1.763
```

Properties
energy of formation	-0.15	eV/atom
volume	25.001	Å³ per atom
density of states at the Fermi level	3.70	states/eV/cell
M_tot	0.00	Bohr magnetons per cell


4.
Density functional theory data (PBE-GGA) for a relaxed structure of La2Mg15Cd2.

Cell and atoms, written as POSCAR:
```
La2Mg15Cd2
1.0
-4.615 -0.683 -6.263
2.356 -7.097 -2.253
-5.721 -4.109 3.373
La Mg Cd
2 15 2
Cartesian
-2.629 -3.917 -1.694
-5.351 -7.972 -3.448
-2.307 -0.342 -3.132
-2.861 -2.054 1.686
1.178 -3.548 -1.126
-0.059 -6.204 -0.571
-2.531 -2.600 -5.064
-5.390 -3.085 0.492
0.272 -5.180 -3.451
-4.946 -1.707 -3.383
-3.307 -5.002 1.691
-2.919 -7.386 -0.268
-2.376 -5.706 -4.995
-6.339 -4.240 -2.235
-5.061 -4.502 -4.875
-5.604 -6.183 -0.148
-1.642 -7.649 -2.908
-0.795 -1.184 -0.512
-7.185 -10.705 -4.631
```

Properties
energy of formation	-0.11	eV/atom
volume	24.459	Å³ per atom
density of states at the Fermi level	7.87	states/eV/cell
M_tot	0.00	Bohr magnetons per cell


5.
Density functional theory data (PBE-GGA) for a relaxed structure of La6Mg2Cd.

Cell and atoms, written as POSCAR:
```
La6Mg2Cd
1.0
5.326 0.000 0.298
0.000 10.572 0.000
-0.590 0.000 10.551
La Mg Cd
12 4 2
Cartesian
-0.100 0.146 1.829
5.022 7.120 5.719
-0.510 6.706 9.132
2.287 1.421 6.843
2.082 1.834 10.555
2.468 5.432 3.596
4.836 10.426 9.020
-0.286 3.452 5.130
5.246 3.865 1.717
2.448 9.151 4.006
2.654 8.738 0.295
2.268 5.140 7.253
-0.475 3.265 8.534
2.253 8.551 7.442
2.483 2.021 3.408
5.211 7.307 2.315
2.663 5.286 0.149
-0.295 0.000 5.276
```

Properties
energy of formation	-0.07	eV/atom
volume	33.108	Å³ per atom
density of states at the Fermi level	26.51	states/eV/cell
M_tot	0.00	Bohr magnetons per cell


6.
Density functional theory data (PBE-GGA) for a relaxed structure of LaMg2Cd3.

Cell and atoms, written as POSCAR:
```
LaMg2Cd3
1.0
6.233 0.000 0.000
0.000 7.063 0.085
0.000 -1.335 6.936
La Mg Cd
2 4 6
Cartesian
1.558 1.943 2.381
4.675 3.785 4.640
3.116 5.192 1.611
0.000 5.192 1.611
0.000 0.535 5.410
3.116 0.535 5.410
4.675 2.897 1.034
4.675 0.431 3.046
1.558 2.830 5.987
4.675 0.151 0.186
1.558 5.576 6.836
1.558 5.296 3.975
```

Properties
energy of formation	-0.18	eV/atom
volume	25.501	Å³ per atom
density of states at the Fermi level	6.77	states/eV/cell
M_tot	0.00	Bohr magnetons per cell